# 1
A plane-wave DFT calculation with PBE was carried out for a geometry-optimized PmTmInNi structure.

Calculated values
DOS(E_F) (states/eV per cell): 4.13
Total moment (μB/atom): 0.000
Energy relative to the elements (eV per atom): -0.29

a b c (Å): 5.129 5.129 5.129
angles (deg): 60.00 60.00 60.00
Fractional positions:
1 Pm 0.000 0.000 0.000
2 Tm 0.500 0.500 0.500
3 In 0.750 0.750 0.750
4 Ni 0.250 0.250 0.250

# 2
A plane-wave DFT calculation with PBE was carried out for a geometry-optimized PmYInNi structure.

Calculated values
DOS(E_F) (states/eV per cell): 4.00
Total moment (μB/atom): 0.000
Energy relative to the elements (eV per atom): -0.29

a b c (Å): 5.171 5.171 5.171
angles (deg): 60.00 60.00 60.00
Fractional positions:
1 Pm 0.000 0.000 0.000
2 Y 0.500 0.500 0.500
3 In 0.250 0.250 0.250
4 Ni 0.750 0.750 0.750

# 3
A plane-wave DFT calculation with PBE was carried out for a geometry-optimized Pm2Zn2InNi5 structure.

Calculated values
DOS(E_F) (states/eV per cell): 12.04
Total moment (μB/atom): 0.000
Energy relative to the elements (eV per atom): -0.24

a b c (Å): 9.512 9.512 3.646
angles (deg): 90.00 90.00 90.00
Fractional positions:
1 Pm 0.181 0.319 0.000
2 Pm 0.319 0.819 0.000
3 Pm 0.681 0.181 0.000
4 Pm 0.819 0.681 0.000
5 Zn 0.114 0.614 0.000
6 Zn 0.386 0.114 0.000
7 Zn 0.614 0.886 0.000
8 Zn 0.886 0.386 0.000
9 In 0.000 0.000 0.000
10 In 0.500 0.500 0.000
11 Ni 0.000 0.500 0.500
12 Ni 0.062 0.784 0.500
13 Ni 0.216 0.062 0.500
14 Ni 0.284 0.562 0.500
15 Ni 0.438 0.284 0.500
16 Ni 0.500 0.000 0.500
17 Ni 0.562 0.716 0.500
18 Ni 0.716 0.438 0.500
19 Ni 0.784 0.938 0.500
20 Ni 0.938 0.216 0.500

# 4
A plane-wave DFT calculation with PBE was carried out for a geometry-optimized Pr4In8Ni structure.

Calculated values
DOS(E_F) (states/eV per cell): 10.78
Total moment (μB/atom): 0.000
Energy relative to the elements (eV per atom): -0.37

a b c (Å): 4.726 4.750 15.583
angles (deg): 90.00 90.00 90.00
Fractional positions:
1 Pr 0.000 0.000 0.000
2 Pr 0.000 0.500 0.474
3 Pr 0.500 0.000 0.787
4 Pr 0.500 0.500 0.303
5 In 0.000 0.000 0.300
6 In 0.000 0.000 0.620
7 In 0.000 0.500 0.147
8 In 0.000 0.500 0.849
9 In 0.500 0.000 0.151
10 In 0.500 0.000 0.470
11 In 0.500 0.500 0.624
12 In 0.500 0.500 0.968
13 Ni 0.000 0.500 0.687

# 5
A plane-wave DFT calculation with PBE was carried out for a geometry-optimized PrIn2Ni2 structure.

Calculated values
DOS(E_F) (states/eV per cell): 5.65
Total moment (μB/atom): 0.000
Energy relative to the elements (eV per atom): -0.34

a b c (Å): 4.695 4.364 10.150
angles (deg): 90.00 97.05 90.00
Fractional positions:
1 Pr 0.209 0.250 0.240
2 Pr 0.791 0.750 0.760
3 In 0.239 0.750 0.496
4 In 0.335 0.250 0.892
5 In 0.665 0.750 0.108
6 In 0.761 0.250 0.504
7 Ni 0.136 0.750 0.005
8 Ni 0.302 0.250 0.639
9 Ni 0.698 0.750 0.361
10 Ni 0.864 0.250 0.995

# 6
A plane-wave DFT calculation with PBE was carried out for a geometry-optimized Pr6In2Ni structure.

Calculated values
DOS(E_F) (states/eV per cell): 11.81
Total moment (μB/atom): 0.000
Energy relative to the elements (eV per atom): -0.29

a b c (Å): 9.063 9.063 3.838
angles (deg): 90.00 90.00 120.00
Fractional positions:
1 Pr 0.000 0.238 0.000
2 Pr 0.000 0.598 0.500
3 Pr 0.238 0.000 0.000
4 Pr 0.402 0.402 0.500
5 Pr 0.598 0.000 0.500
6 Pr 0.762 0.762 0.000
7 In 0.333 0.667 0.000
8 In 0.667 0.333 0.000
9 Ni 0.000 0.000 0.500

# 7
A plane-wave DFT calculation with PBE was carried out for a geometry-optimized PrInNi structure.

Calculated values
DOS(E_F) (states/eV per cell): 14.47
Total moment (μB/atom): 0.000
Energy relative to the elements (eV per atom): -0.44

a b c (Å): 13.098 4.023 7.632
angles (deg): 90.00 90.00 90.00
Fractional positions:
1 Pr 0.043 0.000 0.235
2 Pr 0.250 0.000 0.866
3 Pr 0.457 0.000 0.235
4 Pr 0.543 0.000 0.765
5 Pr 0.750 0.000 0.134
6 Pr 0.957 0.000 0.765
7 In 0.127 0.500 0.575
8 In 0.250 0.500 0.208
9 In 0.373 0.500 0.575
10 In 0.627 0.500 0.425
11 In 0.750 0.500 0.792
12 In 0.873 0.500 0.425
13 Ni 0.092 0.500 0.947
14 Ni 0.250 0.000 0.452
15 Ni 0.408 0.500 0.947
16 Ni 0.592 0.500 0.053
17 Ni 0.750 0.000 0.548
18 Ni 0.908 0.500 0.053

# 8
A plane-wave DFT calculation with PBE was carried out for a geometry-optimized PrInNi5 structure.

Calculated values
DOS(E_F) (states/eV per cell): 32.02
Total moment (μB/atom): 0.003
Energy relative to the elements (eV per atom): -0.27

a b c (Å): 8.205 4.923 10.413
angles (deg): 90.00 90.00 90.00
Fractional positions:
1 Pr 0.249 0.250 0.060
2 Pr 0.251 0.750 0.560
3 Pr 0.749 0.250 0.440
4 Pr 0.751 0.750 0.940
5 In 0.139 0.750 0.862
6 In 0.361 0.250 0.362
7 In 0.639 0.750 0.638
8 In 0.861 0.250 0.138
9 Ni 0.049 0.750 0.110
10 Ni 0.067 0.000 0.311
11 Ni 0.067 0.500 0.311
12 Ni 0.082 0.250 0.517
13 Ni 0.187 0.250 0.742
14 Ni 0.313 0.750 0.242
15 Ni 0.418 0.750 0.017
16 Ni 0.433 0.000 0.811
17 Ni 0.433 0.500 0.811
18 Ni 0.451 0.250 0.610
19 Ni 0.549 0.750 0.390
20 Ni 0.567 0.000 0.189
21 Ni 0.567 0.500 0.189
22 Ni 0.582 0.250 0.983
23 Ni 0.687 0.250 0.758
24 Ni 0.813 0.750 0.258
25 Ni 0.918 0.750 0.483
26 Ni 0.933 0.000 0.689
27 Ni 0.933 0.500 0.689
28 Ni 0.951 0.250 0.890